A geometry-optimized Cd2CoAsO6 structure, computed with GGA+U.

* symmetry: P4mm, No. 99
* calculated volume: 128.2 Å³/f.u.
* E: -50.677 eV/cell

```
data_Cd2CoAsO6
_space_group_name_H-M_alt 'P 1'
_space_group_IT_number 1
_cell_length_a 5.1532
_cell_length_b 5.1532
_cell_length_c 4.8292
_cell_angle_alpha 90.00
_cell_angle_beta 90.00
_cell_angle_gamma 90.00
loop_
_space_group_symop_operation_xyz
'x,y,z'
loop_
_atom_site_label
_atom_site_fract_x
_atom_site_fract_y
_atom_site_fract_z
Cd1 0.0000 0.5000 0.0000
Cd2 0.5000 0.0000 0.0000
Co1 0.0000 0.0000 0.5442
As1 0.5000 0.5000 0.5863
O1 0.0000 0.0000 0.1828
O2 0.2592 0.2592 0.6983
O3 0.2592 0.7408 0.6983
O4 0.5000 0.5000 0.2257
O5 0.7408 0.2592 0.6983
O6 0.7408 0.7408 0.6983
```